Entry 1:
Entry from the Alexandria database: an optimized crystal structure of Be2ZnSe (GGA-PBE).

a b c (Å): 5.9229 5.9229 5.9229
angles (deg): 147.49 147.49 46.64
Fractional positions:
1 Be 0.0000 0.0000 0.0000
2 Be 0.2500 0.7500 0.5000
3 Zn 0.7500 0.2500 0.5000
4 Se 0.5000 0.5000 0.0000

Computed properties:
* space group: I-4m2 (119)
* formation energy (no corrections): 369 meV per atom
* energy relative to the lowest polymorph listed for this composition: 287.0 meV per atom
* raw total energy: -2.6840 eV per atom

Entry 2:
Entry from the Alexandria database: an optimized crystal structure of BaPu2Ge2 (GGA-PBE).

a b c (Å): 4.3149 3.0586 9.0228
angles (deg): 93.72 103.83 90.00
Fractional positions:
1 Ba 0.0000 0.0000 0.0000
2 Pu 0.7725 0.1178 0.5450
3 Pu 0.2275 0.8822 0.4550
4 Ge 0.6258 0.5371 0.2517
5 Ge 0.3742 0.4629 0.7483

Computed properties:
* space group: C2/m (12)
* raw total energy: -8.0161 eV per atom
* ΔH_f (0 K): -0.3 eV/f.u.

Entry 3:
Entry from the Alexandria database: an optimized crystal structure of NaLi2PmI6 (GGA-PBE).

a b c (Å): 7.7415 7.7396 8.3920
angles (deg): 62.54 62.54 60.00
Fractional positions:
1 Na 0.8164 0.8164 0.5506
2 Li 0.5088 0.5089 0.4738
3 Li 0.0067 0.0068 0.9797
4 Pm 0.3239 0.3238 0.0284
5 I 0.6031 0.2450 0.2455
6 I 0.2450 0.9064 0.2455
7 I 0.9065 0.6032 0.2453
8 I 0.3859 0.7432 0.7489
9 I 0.7433 0.1221 0.7488
10 I 0.1220 0.3858 0.7488

Computed properties:
* space group: R3 (146)
* formation energy (no corrections): -1272 meV per atom
* raw total energy: -3.1913 eV per atom

Entry 4:
Entry from the Alexandria database: an optimized crystal structure of Mn2GaAgH (GGA-PBE).

a b c (Å): 3.8466 3.8466 4.0880
angles (deg): 90.00 90.00 90.00
Site moments in Bohr magnetons follow the coordinates.
Fractional positions:
1 H 0.0000 0.0000 0.0000  -0.03
2 Mn 0.0000 0.5000 0.0000  2.86
3 Mn 0.5000 0.0000 0.0000  2.86
4 Ga 0.5000 0.5000 0.5000  -0.15
5 Ag 0.0000 0.0000 0.5000  -0.01

Computed properties:
* space group: P4/mmm (123)
* raw total energy: -5.4036 eV per atom

Entry 5:
Entry from the Alexandria database: an optimized crystal structure of Li8CdPb2 (GGA-PBE).

a b c (Å): 4.8172 6.4381 8.1628
angles (deg): 113.17 107.16 90.00
Fractional positions:
1 Li 0.3425 0.5745 0.6850
2 Li 0.6582 0.8907 0.3163
3 Li 0.8278 0.8272 0.6556
4 Li 0.9998 0.2733 0.9997
5 Li 0.1722 0.1728 0.3444
6 Li 0.3418 0.1093 0.6837
7 Li 0.6575 0.4255 0.3150
8 Li 0.0002 0.7267 0.0003
9 Cd 0.5000 0.0000 0.0000
10 Pb 0.8204 0.3208 0.6409
11 Pb 0.1796 0.6792 0.3591

Computed properties:
* space group: C2/m (12)
* energy relative to the lowest polymorph listed for this composition: 0.0 meV per atom
* raw total energy: -2.3888 eV per atom
* ΔH_f (0 K): -2.6 eV/f.u.

Entry 6:
Entry from the Alexandria database: an optimized crystal structure of NdSmBeAl (GGA-PBE).

a b c (Å): 5.1242 5.1242 5.1242
angles (deg): 60.00 60.00 60.00
Fractional positions:
1 Be 0.0000 0.0000 0.0000
2 Nd 0.7500 0.7500 0.7500
3 Al 0.5000 0.5000 0.5000
4 Sm 0.2500 0.2500 0.2500

Computed properties:
* space group: F-43m (216)
* raw total energy: -4.2973 eV per atom
* ΔH_f (0 K): -0.2 eV/f.u.

Entry 7:
Entry from the Alexandria database: an optimized crystal structure of TlCdCoSi2 (GGA-PBE).

a b c (Å): 5.1690 4.8983 5.1690
angles (deg): 90.00 90.00 90.00
Site moments in Bohr magnetons follow the coordinates.
Fractional positions:
1 Tl 0.0000 0.0000 0.0000  -0.03
2 Co 0.0000 0.5000 0.0000  1.69
3 Si 0.0000 0.0000 0.5000  -0.02
4 Si 0.5000 0.0000 0.0000  -0.02
5 Cd 0.5000 0.5000 0.5000  0.01

Computed properties:
* space group: P4/mmm (123)
* formation energy (no corrections): 1442 meV per atom
* raw total energy: -2.8042 eV per atom

Entry 8:
Entry from the Alexandria database: an optimized crystal structure of Cs2HoBiS4 (GGA-PBE).

a b c (Å): 7.0182 8.4413 12.8946
angles (deg): 83.50 74.21 65.44
Fractional positions:
1 Cs 0.1817 0.0000 0.6366
2 Cs 0.8183 0.0000 0.3634
3 Cs 0.5683 0.5000 0.8634
4 Cs 0.9317 0.5000 0.1366
5 Ho 0.7500 0.5000 0.5000
6 Ho 0.0000 0.0000 0.0000
7 Bi 0.2500 0.5000 0.5000
8 Bi 0.5000 0.0000 0.0000
9 S 0.2772 0.8071 0.1061
10 S 0.1904 0.1929 0.8939
11 S 0.9157 0.8071 0.8939
12 S 0.6167 0.1929 0.1061
13 S 0.4728 0.6929 0.3939
14 S 0.5596 0.3071 0.6061
15 S 0.8343 0.6929 0.6061
16 S 0.1333 0.3071 0.3939

Computed properties:
* space group: Fddd (70)
* formation energy (no corrections): -1124 meV per atom
* raw total energy: -4.4585 eV per atom

Entry 9:
Entry from the Alexandria database: an optimized crystal structure of NaAlPS4 (GGA-PBE).

a b c (Å): 6.2578 6.2578 6.1766
angles (deg): 120.44 120.44 90.00
Fractional positions:
1 Na 0.0000 0.0000 0.0000
2 Al 0.5000 0.5000 0.0000
3 P 0.2500 0.7500 0.5000
4 S 0.1704 0.1177 0.7193
5 S 0.3983 0.8296 0.2807
6 S 0.5489 0.6017 0.7193
7 S 0.8823 0.4511 0.2807

Computed properties:
* space group: I-4 (82)
* formation energy (no corrections): -591 meV per atom
* raw total energy: -4.4450 eV per atom

Entry 10:
Entry from the Alexandria database: an optimized crystal structure of Tc2PAuF (GGA-PBE).

a b c (Å): 4.5503 3.9362 4.5503
angles (deg): 90.00 90.00 90.00
Site moments in Bohr magnetons follow the coordinates.
Fractional positions:
1 P 0.0000 0.0000 0.0000  -0.05
2 Au 0.5000 0.5000 0.5000  0.03
3 Tc 0.0000 0.0000 0.5000  1.37
4 Tc 0.5000 0.0000 0.0000  1.36
5 F 0.0000 0.5000 0.0000  0.06

Computed properties:
* space group: P4/mmm (123)
* formation energy (no corrections): 319 meV per atom
* raw total energy: -5.9395 eV per atom

Entry 11:
Entry from the Alexandria database: an optimized crystal structure of NdNpTc4 (GGA-PBE).

a b c (Å): 5.4221 5.4221 5.4221
angles (deg): 60.00 60.00 60.00
Site moments in Bohr magnetons follow the coordinates.
Fractional positions:
1 Np 0.0000 0.0000 0.0000  3.53
2 Nd 0.2500 0.2500 0.2500  0.03
3 Tc 0.6251 0.6251 0.1248  0.12
4 Tc 0.6251 0.1248 0.6251  0.12
5 Tc 0.6251 0.6251 0.6251  0.12
6 Tc 0.1248 0.6251 0.6251  0.12

Computed properties:
* space group: F-43m (216)
* raw total energy: -9.6978 eV per atom
* ΔH_f (0 K): 1.0 eV/f.u.

Entry 12:
Entry from the Alexandria database: an optimized crystal structure of SrBeAsH2 (GGA-PBE).

a b c (Å): 4.2283 4.3393 4.2283
angles (deg): 90.00 90.00 90.00
Fractional positions:
1 Sr 0.5000 0.5000 0.5000
2 As 0.0000 0.5000 0.0000
3 H 0.0000 0.0000 0.5000
4 H 0.5000 0.0000 0.0000
5 Be 0.0000 0.0000 0.0000

Computed properties:
* space group: P4/mmm (123)
* raw total energy: -3.3514 eV per atom

Entry 13:
Entry from the Alexandria database: an optimized crystal structure of KPt2 (GGA-PBE).

a b c (Å): 6.0549 6.0549 2.5429
angles (deg): 90.00 90.00 90.00
Site moments in Bohr magnetons follow the coordinates.
Fractional positions:
1 K 0.0000 0.0000 0.0000  0.00
2 Pt 0.0000 0.5000 0.5000  0.31
3 Pt 0.5000 0.0000 0.5000  0.31

Computed properties:
* space group: P4/mmm (123)
* raw total energy: -3.2708 eV per atom
* ΔH_f (0 K): 3.4 eV/f.u.

Entry 14:
Entry from the Alexandria database: an optimized crystal structure of La6PrSm2Y (GGA-PBE).

a b c (Å): 9.2244 7.1208 6.7763
angles (deg): 121.70 104.15 90.00
Fractional positions:
1 La 0.4227 0.6275 0.2550
2 La 0.2007 0.0393 0.6174
3 La 0.7993 0.4219 0.3826
4 La 0.2007 0.5781 0.6174
5 La 0.7993 0.9607 0.3826
6 La 0.5773 0.3725 0.7450
7 Pr 0.0000 0.5000 0.0000
8 Sm 0.1725 0.0787 0.1574
9 Sm 0.8275 0.9213 0.8426
10 Y 0.5000 0.0000 0.0000

Computed properties:
* space group: C2/m (12)
* raw total energy: -4.8437 eV per atom
* ΔH_f (0 K): 1.8 eV/f.u.

Entry 15:
Entry from the Alexandria database: an optimized crystal structure of Pm2DyHo2Sc (GGA-PBE).

a b c (Å): 5.5820 6.8602 9.6621
angles (deg): 90.00 90.00 90.00
Fractional positions:
1 Pm 0.5000 0.0074 0.9999
2 Pm 0.0000 0.2573 0.1863
3 Pm 0.5000 0.5074 0.0001
4 Pm 0.0000 0.7573 0.8137
5 Dy 0.5000 0.2579 0.6524
6 Dy 0.5000 0.7579 0.3476
7 Ho 0.0000 0.2573 0.8367
8 Ho 0.5000 0.2579 0.3316
9 Ho 0.0000 0.7573 0.1633
10 Ho 0.5000 0.7579 0.6684
11 Sc 0.0000 0.0078 0.5001
12 Sc 0.0000 0.5078 0.4999

Computed properties:
* space group: Pmma (51)
* raw total energy: -4.8379 eV per atom
* ΔH_f (0 K): 0.6 eV/f.u.

Entry 16:
Entry from the Alexandria database: an optimized crystal structure of SrRe2AuBr (GGA-PBE).

a b c (Å): 6.4225 5.6238 6.4225
angles (deg): 90.00 90.00 90.00
Site moments in Bohr magnetons follow the coordinates.
Fractional positions:
1 Re 0.0000 0.0000 0.5000  3.89
2 Re 0.5000 0.0000 0.0000  3.94
3 Au 0.0000 0.5000 0.0000  0.06
4 Br 0.5000 0.5000 0.5000  0.15
5 Sr 0.0000 0.0000 0.0000  -0.01

Computed properties:
* space group: P4/mmm (123)
* formation energy (no corrections): 2639 meV per atom
* raw total energy: -3.6663 eV per atom

Entry 17:
Entry from the Alexandria database: an optimized crystal structure of KInReO6 (GGA-PBE).

a b c (Å): 5.6654 5.6469 5.6768
angles (deg): 91.17 92.33 59.89
Site moments in Bohr magnetons follow the coordinates.
Fractional positions:
1 K 0.9960 0.0079 0.0000  0.00
2 In 0.6747 0.6505 0.5000  -0.01
3 Re 0.3204 0.3591 0.5000  -0.05
4 O 0.0275 0.3826 0.3080  0.02
5 O 0.4014 0.0298 0.6766  0.42
6 O 0.5899 0.3826 0.6920  0.02
7 O 0.0518 0.5788 0.7046  0.03
8 O 0.3693 0.5789 0.2954  0.03
9 O 0.5687 0.0298 0.3234  0.42

Computed properties:
* space group: C2 (5)
* formation energy (no corrections): -1391 meV per atom
* raw total energy: -6.5056 eV per atom

Entry 18:
Entry from the Alexandria database: an optimized crystal structure of Np4Si6Os7 (GGA-PBE).

a b c (Å): 7.1060 7.1060 7.1060
angles (deg): 109.47 109.47 109.47
Site moments in Bohr magnetons follow the coordinates.
Fractional positions:
1 Np 0.5000 0.0000 0.0000  2.93
2 Np 0.5000 0.5000 0.5000  2.93
3 Np 0.0000 0.5000 0.0000  2.93
4 Np 0.0000 0.0000 0.5000  2.93
5 Si 0.6901 0.0000 0.6901  -0.02
6 Si 0.6901 0.6901 0.0000  -0.02
7 Si 0.0000 0.3099 0.3099  -0.02
8 Si 0.3099 0.0000 0.3099  -0.02
9 Si 0.3099 0.3099 0.0000  -0.02
10 Si 0.0000 0.6901 0.6901  -0.02
11 Os 0.7500 0.5000 0.2500  -0.35
12 Os 0.2500 0.7500 0.5000  -0.35
13 Os 0.5000 0.7500 0.2500  -0.35
14 Os 0.7500 0.2500 0.5000  -0.35
15 Os 0.2500 0.5000 0.7500  -0.35
16 Os 0.5000 0.2500 0.7500  -0.35
17 Os 0.0000 0.0000 0.0000  0.10

Computed properties:
* space group: Im-3m (229)
* formation energy (no corrections): -442 meV per atom
* raw total energy: -10.0251 eV per atom

Entry 19:
Entry from the Alexandria database: an optimized crystal structure of SbH2S (GGA-PBE).

a b c (Å): 4.0454 4.0454 7.2568
angles (deg): 73.82 73.82 90.00
Fractional positions:
1 Sb 0.0000 0.0000 0.0000
2 Sb 0.7500 0.2500 0.5000
3 S 0.5000 0.5000 0.0000
4 S 0.2500 0.7500 0.5000
5 H 0.8060 0.1250 0.2500
6 H 0.9440 0.6250 0.2500
7 H 0.3750 0.1940 0.7500
8 H 0.8750 0.0560 0.7500

Computed properties:
* space group: I-42d (122)
* energy relative to the lowest polymorph listed for this composition: 0.0 meV per atom
* raw total energy: -3.2363 eV per atom

Entry 20:
Entry from the Alexandria database: an optimized crystal structure of Pm3Er4Pt4 (GGA-PBE).

a b c (Å): 4.5671 7.8124 8.9733
angles (deg): 115.81 104.74 90.00
Fractional positions:
1 Pm 0.1021 0.1021 0.2043
2 Pm 0.8979 0.8979 0.7957
3 Pm 0.0000 0.5000 0.0000
4 Er 0.3285 0.1186 0.6570
5 Er 0.6715 0.4617 0.3430
6 Er 0.6715 0.8814 0.3430
7 Er 0.3285 0.5383 0.6570
8 Pt 0.2095 0.7095 0.4191
9 Pt 0.7905 0.2905 0.5809
10 Pt 0.5000 0.8133 0.0000
11 Pt 0.5000 0.1867 0.0000

Computed properties:
* space group: Immm (71)
* raw total energy: -6.0655 eV per atom
* ΔH_f (0 K): -10.1 eV/f.u.

Entry 21:
Entry from the Alexandria database: an optimized crystal structure of NbIn2Ni9 (GGA-PBE).

a b c (Å): 3.7168 3.7168 11.1648
angles (deg): 90.00 90.00 90.00
Fractional positions:
1 Nb 0.0000 0.0000 0.0000
2 In 0.0000 0.0000 0.3322
3 In 0.0000 0.0000 0.6678
4 Ni 0.5000 0.5000 0.0000
5 Ni 0.5000 0.5000 0.3311
6 Ni 0.5000 0.5000 0.6689
7 Ni 0.5000 0.0000 0.1594
8 Ni 0.5000 0.0000 0.5000
9 Ni 0.5000 0.0000 0.8406
10 Ni 0.0000 0.5000 0.1594
11 Ni 0.0000 0.5000 0.5000
12 Ni 0.0000 0.5000 0.8406

Computed properties:
* space group: P4/mmm (123)
* raw total energy: -5.7958 eV per atom
* ΔH_f (0 K): -2.0 eV/f.u.

Entry 22:
Entry from the Alexandria database: an optimized crystal structure of Rb2BaNbO4 (GGA-PBE).

a b c (Å): 6.3450 6.3450 6.3450
angles (deg): 92.95 118.31 118.31
Site moments in Bohr magnetons follow the coordinates.
Fractional positions:
1 Rb 0.5000 0.7500 0.2500  0.01
2 Rb 0.0000 0.0000 0.0000  0.01
3 Ba 0.5000 0.2500 0.7500  0.01
4 Nb 0.0000 0.5000 0.5000  0.44
5 O 0.6157 0.3766 0.4170  0.01
6 O 0.0404 0.2391 0.6234  0.01
7 O 0.9596 0.5830 0.1987  0.01
8 O 0.3843 0.8013 0.7609  0.01

Computed properties:
* space group: I-4 (82)
* formation energy (no corrections): -2120 meV per atom
* raw total energy: -6.3404 eV per atom

Entry 23:
Entry from the Alexandria database: an optimized crystal structure of ThAl4Pd2Au (GGA-PBE).

a b c (Å): 4.3115 4.3115 9.4938
angles (deg): 76.88 76.88 60.00
Fractional positions:
1 Th 0.0000 0.0000 0.0000
2 Al 0.4034 0.4034 0.7898
3 Al 0.8747 0.8747 0.3759
4 Al 0.1253 0.1253 0.6241
5 Al 0.5966 0.5966 0.2102
6 Pd 0.7562 0.7562 0.7313
7 Pd 0.2438 0.2438 0.2687
8 Au 0.5000 0.5000 0.5000

Computed properties:
* space group: R-3m (166)
* raw total energy: -5.1300 eV per atom
* ΔH_f (0 K): -5.0 eV/f.u.

Entry 24:
Entry from the Alexandria database: an optimized crystal structure of LiTlPdPb (GGA-PBE).

a b c (Å): 4.8920 4.8920 4.8920
angles (deg): 60.00 60.00 60.00
Fractional positions:
1 Pb 0.7500 0.7500 0.7500
2 Tl 0.2500 0.2500 0.2500
3 Pd 0.5000 0.5000 0.5000
4 Li 0.0000 0.0000 0.0000

Computed properties:
* space group: F-43m (216)
* raw total energy: -3.5155 eV per atom
* ΔH_f (0 K): -0.9 eV/f.u.